1.
## DySnRuRh (GGA-PBE)

Data for a relaxed structure of DySnRuRh.

Values from the calculation:
Its space group is F-43m. For the total magnetization, the calculation gives 0.00 Bohr magnetons per cell. For the formation energy, the calculation gives -241 kJ/mol of formula units. The density of states at the Fermi level comes out at 0.263 states/eV per atom.

a b c (Å): 4.678 4.678 4.678
angles (deg): 60.00 60.00 60.00
Fractional coordinates of all 4 atoms:
Rh (0.250, 0.250, 0.250)
Sn (0.500, 0.500, 0.500)
Dy (0.000, 0.000, 0.000)
Ru (0.750, 0.750, 0.750)

---

2.
## TbDyRuRh (GGA-PBE)

Data for a relaxed structure of TbDyRuRh.

Values from the calculation:
Its space group is F-43m. For the total magnetization, the calculation gives 0.00 Bohr magnetons per cell. For the formation energy, the calculation gives -234 kJ/mol of formula units. The density of states at the Fermi level comes out at 0.475 states/eV per atom.

a b c (Å): 4.835 4.835 4.835
angles (deg): 60.00 60.00 60.00
Fractional coordinates of all 4 atoms:
Tb (0.000, 0.000, 0.000)
Ru (0.750, 0.750, 0.750)
Dy (0.500, 0.500, 0.500)
Rh (0.250, 0.250, 0.250)

---

Which formula does entry 2 have? TbDyRuRh